# Ni3O4

A geometry-optimized Ni3O4 structure (GGA+U, the Alexandria database).

- Total magnetization: 4.00 Bohr magnetons per cell
- Uncorrected energy: -33.40 eV per cell
- Energy relative to the lowest polymorph listed for this composition: 0 meV per atom

a b c (Å): 5.1182 5.1182 2.8766
angles (deg): 90.00 90.00 108.24
Atoms (fractional coordinates):
Ni1 0.0000 0.0000 0.0000
Ni2 0.0000 0.5000 0.5000
Ni3 0.5000 0.0000 0.5000
O1 0.2057 0.2057 0.5000
O2 0.2262 0.7738 0.0000
O3 0.7738 0.2262 0.0000
O4 0.7943 0.7943 0.5000